An optimized crystal structure of Pr2Nd6Ga, computed with PBE-GGA.

Cell lengths 5.6245, 10.0801, 10.6157 Å; angles 90.00, 89.96, 90.00 degrees
Sites, in units of the cell vectors:
Pr 0.0002 0.6874 0.2527
Nd 0.5004 0.8061 0.0751
Nd 0.9996 0.3061 0.4249
Pr 0.4998 0.1874 0.2473
Nd 0.4998 0.5132 0.3041
Pr 0.9998 0.3126 0.7473
Ga 0.0000 0.0000 0.5000
Nd 0.5002 0.4868 0.6959
Nd 0.0004 0.6352 0.8995
Nd 0.5004 0.8648 0.3995
Nd 0.0004 0.6939 0.5751
Ga 0.5000 0.5000 0.0000
Nd 0.4996 0.1352 0.6005
Nd 0.4996 0.1939 0.9249
Nd 0.9998 0.9868 0.8041
Nd 0.0002 0.0132 0.1959
Nd 0.9996 0.3648 0.1005
Pr 0.5002 0.8126 0.7527

ΔE_f	-45.1	meV per atom
total DFT energy (no corrections)	-83.2	eV for the cell shown
SG	P2_1/c (14)